No. 1
RbAsOs2: relaxed, PBE.

Properties
Raw total energy (eV/atom): -6.031
Density of states at the Fermi level (states/eV/f.u.): 4.645
Theoretical density (Mg/m³): 8.57
Total magnetization (μB per cell): 0.00
Crystal system: tetragonal
Energy of formation (meV/atom): 988

Structure (CIF):
```
data_RbAsOs2
_cell_length_a 4.9512
_cell_length_b 4.9512
_cell_length_c 17.0931
_cell_angle_alpha 90.00
_cell_angle_beta 90.00
_cell_angle_gamma 90.00
_symmetry_space_group_name_H-M 'I -4 2 d'
_symmetry_Int_Tables_number 122
_symmetry_space_group_name_Hall 'I -4 2bw'
loop_
_atom_site_label
_atom_site_type_symbol
_atom_site_fract_x
_atom_site_fract_y
_atom_site_fract_z
_atom_site_occupancy
Rb1 Rb 0.0000 0.0000 0.0000 1
As1 As 0.0000 0.0000 0.5000 1
Os1 Os 0.0225 0.7500 0.6250 1
```

No. 2
SmY2Rh3: relaxed, PBE.

Properties
Raw total energy (eV/atom): -7.418
Density of states at the Fermi level (states/eV/f.u.): 4.358
Theoretical density (Mg/m³): 8.53
Total magnetization (μB per cell): 0.00
Crystal system: trigonal
Energy of formation (meV/atom): -801

Structure (CIF):
```
data_SmY2Rh3
_cell_length_a 4.8942
_cell_length_b 4.8942
_cell_length_c 11.9577
_cell_angle_alpha 90.00
_cell_angle_beta 90.00
_cell_angle_gamma 120.00
_symmetry_space_group_name_H-M 'P -3 m 1'
_symmetry_Int_Tables_number 164
_symmetry_space_group_name_Hall '-P 3 2"'
loop_
_atom_site_label
_atom_site_type_symbol
_atom_site_fract_x
_atom_site_fract_y
_atom_site_fract_z
_atom_site_occupancy
Sm1 Sm 0.3333 0.6667 0.1680 1
Y1 Y 0.0000 0.0000 0.0000 1
Y2 Y 0.0000 0.0000 0.5000 1
Y3 Y 0.3333 0.6667 0.6645 1
Rh1 Rh 0.0000 0.0000 0.2520 1
Rh2 Rh 0.3333 0.6667 0.4183 1
Rh3 Rh 0.3333 0.6667 0.9167 1
```